## Tm8ScTl2 (PBE)

Data for a geometry-optimized Tm8ScTl2 structure.

## Properties
Space-group type = C2/m, No. 12
Formation enthalpy at 0 K = 8 meV per atom
Total moment = 0.00 μB/cell
Crystal system = monoclinic

Cell: 5.429 8.660 8.660 Å, 119.44 101.55 101.55°
Atoms (fractional coordinates):
Tm  0.883  0.904  0.679
Tm  0.883  0.679  0.904
Tm  0.300  0.609  0.609
Tm  0.500  0.789  0.211
Tm  0.500  0.211  0.789
Tm  0.700  0.391  0.391
Tm  0.117  0.321  0.096
Tm  0.117  0.096  0.321
Sc  0.500  0.000  0.000
Tl  0.000  0.306  0.694
Tl  0.000  0.694  0.306

=====

## Tm6ScTl (PBE)

Data for a geometry-optimized Tm6ScTl structure.

## Properties
Space-group type = C2/m, No. 12
Excess energy over the best structure of this formula in the dataset = 83 kJ/mol of formula units
Formation enthalpy at 0 K = 64 meV per atom
Total moment = 0.00 μB/cell
Crystal system = monoclinic

Cell: 6.489 6.489 9.030 Å, 110.85 110.85 120.34°
Atoms (fractional coordinates):
Tm  0.318  0.318  0.746
Tm  0.259  0.832  0.254
Tm  0.682  0.682  0.254
Tm  0.168  0.741  0.746
Tm  0.741  0.168  0.746
Tm  0.832  0.259  0.254
Sc  0.500  0.500  0.500
Tl  0.000  0.000  0.000

=====

## Tm3Sc3Tl2 (PBE)

Data for a geometry-optimized Tm3Sc3Tl2 structure.

## Properties
Space-group type = Pmmm, No. 47
Formation enthalpy at 0 K = -168 meV per atom
Total moment = 2.83 μB/cell
Crystal system = orthorhombic

Cell: 4.643 4.673 9.344 Å, 90.00 90.00 90.00°
Atoms (fractional coordinates):
Tm  0.500  0.500  0.745
Tm  0.500  0.500  0.255
Tm  0.500  0.000  0.000
Sc  0.500  0.000  0.500
Sc  0.000  0.500  0.000
Sc  0.000  0.500  0.500
Tl  0.000  0.000  0.745
Tl  0.000  0.000  0.255

=====

## Tm11Sc9Tl4 (PBE)

Data for a geometry-optimized Tm11Sc9Tl4 structure.

## Properties
Space-group type = Cmmm, No. 65
Formation enthalpy at 0 K = -75 meV per atom
Total moment = 5.69 μB/cell
Crystal system = orthorhombic

Cell: 3.640 13.959 13.959 Å, 112.94 90.00 90.00°
Atoms (fractional coordinates):
Tm  0.000  0.592  0.950
Tm  0.000  0.408  0.050
Tm  0.000  0.950  0.592
Tm  0.000  0.050  0.408
Tm  0.000  0.636  0.364
Tm  0.000  0.364  0.636
Tm  0.000  0.841  0.159
Tm  0.000  0.159  0.841
Tm  0.000  0.000  0.000
Tm  0.000  0.715  0.715
Tm  0.000  0.285  0.285
Sc  0.500  0.631  0.160
Sc  0.500  0.369  0.840
Sc  0.500  0.160  0.631
Sc  0.500  0.840  0.369
Sc  0.500  0.789  0.936
Sc  0.500  0.211  0.064
Sc  0.500  0.936  0.789
Sc  0.500  0.064  0.211
Sc  0.500  0.500  0.500
Tl  0.500  0.553  0.751
Tl  0.500  0.447  0.249
Tl  0.500  0.751  0.553
Tl  0.500  0.249  0.447

=====

## TmSc8Tl2 (PBE)

Data for a geometry-optimized TmSc8Tl2 structure.

## Properties
Space-group type = C2/m, No. 12
Formation enthalpy at 0 K = 25 meV per atom
Total moment = 0.00 μB/cell
Crystal system = monoclinic

Cell: 5.294 8.293 8.293 Å, 120.13 103.61 103.61°
Atoms (fractional coordinates):
Tm  0.500  0.000  0.000
Sc  0.862  0.903  0.676
Sc  0.862  0.676  0.903
Sc  0.294  0.581  0.581
Sc  0.500  0.787  0.213
Sc  0.500  0.213  0.787
Sc  0.706  0.419  0.419
Sc  0.138  0.324  0.097
Sc  0.138  0.097  0.324
Tl  0.000  0.307  0.693
Tl  0.000  0.693  0.307

=====

## Tm2Sc6Tl (PBE)

Data for a geometry-optimized Tm2Sc6Tl structure.

## Properties
Space-group type = Immm, No. 71
Formation enthalpy at 0 K = 28 meV per atom
Total moment = 0.00 μB/cell
Crystal system = orthorhombic

Cell: 3.288 9.569 8.975 Å, 122.21 100.57 90.00°
Atoms (fractional coordinates):
Tm  0.149  0.649  0.297
Tm  0.851  0.351  0.703
Sc  0.179  0.343  0.358
Sc  0.821  0.985  0.642
Sc  0.821  0.657  0.642
Sc  0.500  0.291  0.000
Sc  0.179  0.015  0.358
Sc  0.500  0.709  0.000
Tl  0.000  0.000  0.000

=====

## Tm2ScTl4 (PBE)

Data for a geometry-optimized Tm2ScTl4 structure.

## Properties
Space-group type = I4/mmm, No. 139
Formation enthalpy at 0 K = -185 meV per atom
Total moment = 0.28 μB/cell
Crystal system = tetragonal

Cell: 6.339 6.339 6.339 Å, 107.09 110.68 110.68°
Atoms (fractional coordinates):
Tm  0.500  0.500  0.000
Tm  0.500  0.000  0.500
Sc  0.000  0.000  0.000
Tl  0.500  0.000  0.000
Tl  0.500  0.500  0.500
Tl  0.000  0.000  0.500
Tl  0.000  0.500  0.000

=====

## Tm3Sc4Tl2 (PBE)

Data for a geometry-optimized Tm3Sc4Tl2 structure.

## Properties
Space-group type = C2/m, No. 12
Formation enthalpy at 0 K = -106 meV per atom
Total moment = 0.00 μB/cell
Crystal system = monoclinic

Cell: 4.678 7.377 7.498 Å, 107.63 108.18 90.00°
Atoms (fractional coordinates):
Tm  0.887  0.334  0.773
Tm  0.113  0.666  0.227
Tm  0.000  0.000  0.000
Sc  0.560  0.335  0.119
Sc  0.780  0.671  0.559
Sc  0.440  0.665  0.881
Sc  0.220  0.329  0.441
Tl  0.341  0.997  0.681
Tl  0.659  0.003  0.319

=====

## Tm3Sc2Tl (PBE)

Data for a geometry-optimized Tm3Sc2Tl structure.

## Properties
Space-group type = Cmmm, No. 65
Excess energy over the best structure of this formula in the dataset = 0 kJ/mol of formula units
Formation enthalpy at 0 K = -109 meV per atom
Total moment = 0.00 μB/cell
Crystal system = orthorhombic

Cell: 4.599 4.760 7.667 Å, 108.08 90.00 90.00°
Atoms (fractional coordinates):
Tm  0.500  0.171  0.342
Tm  0.500  0.500  0.000
Tm  0.500  0.829  0.658
Sc  0.000  0.666  0.331
Sc  0.000  0.334  0.669
Tl  0.000  0.000  0.000

=====

## TmSc7Tl3 (PBE)

Data for a geometry-optimized TmSc7Tl3 structure.

## Properties
Space-group type = Immm, No. 71
Formation enthalpy at 0 K = 75 meV per atom
Total moment = 1.74 μB/cell
Crystal system = orthorhombic

Cell: 5.402 7.726 7.726 Å, 89.40 110.50 110.50°
Atoms (fractional coordinates):
Tm  0.500  0.500  0.500
Sc  0.182  0.181  0.181
Sc  0.307  0.011  0.603
Sc  0.693  0.397  0.989
Sc  0.307  0.603  0.011
Sc  0.000  0.500  0.500
Sc  0.693  0.989  0.397
Sc  0.818  0.819  0.819
Tl  0.000  0.770  0.230
Tl  0.500  0.000  0.000
Tl  0.000  0.230  0.770

=====

## Tm3Sc2Tl3 (PBE)

Data for a geometry-optimized Tm3Sc2Tl3 structure.

## Properties
Space-group type = Immm, No. 71
Formation enthalpy at 0 K = -228 meV per atom
Total moment = 0.00 μB/cell
Crystal system = orthorhombic

Cell: 4.313 4.771 10.549 Å, 103.07 101.79 90.00°
Atoms (fractional coordinates):
Tm  0.623  0.623  0.246
Tm  0.377  0.377  0.754
Tm  0.500  0.000  0.000
Sc  0.742  0.242  0.484
Sc  0.258  0.758  0.516
Tl  0.136  0.136  0.271
Tl  0.000  0.500  0.000
Tl  0.864  0.864  0.729

=====

## TmSc12Tl3 (PBE)

Data for a geometry-optimized TmSc12Tl3 structure.

## Properties
Space-group type = P4/mmm, No. 123
Formation enthalpy at 0 K = -129 meV per atom
Total moment = 4.33 μB/cell
Crystal system = tetragonal

Cell: 4.544 4.544 18.529 Å, 90.00 90.00 90.00°
Atoms (fractional coordinates):
Tm  0.000  0.000  0.000
Sc  0.500  0.500  0.000
Sc  0.500  0.500  0.257
Sc  0.500  0.500  0.500
Sc  0.500  0.500  0.743
Sc  0.500  0.000  0.131
Sc  0.500  0.000  0.378
Sc  0.500  0.000  0.622
Sc  0.500  0.000  0.869
Sc  0.000  0.500  0.131
Sc  0.000  0.500  0.378
Sc  0.000  0.500  0.622
Sc  0.000  0.500  0.869
Tl  0.000  0.000  0.256
Tl  0.000  0.000  0.500
Tl  0.000  0.000  0.744